1.
FeSi2Rh (PBE-GGA, optimized geometry); formation energy from raw total energies = -0.423 eV per atom; crystal system = monoclinic
1.0
3.7870 -1.3882 0.0000
3.7870 1.3882 0.0000
-1.0183 0.0000 4.7418
Fe Si Rh
1 2 1
direct
0.0000 0.0000 0.0000 Fe
0.2552 0.2552 0.7780 Si
0.7448 0.7448 0.2220 Si
0.5000 0.5000 0.5000 Rh

***

2.
Fe2SiRh (PBE-GGA, optimized geometry); formation energy from raw total energies = -0.369 eV per atom; crystal system = tetragonal
1.0
2.9088 0.0000 0.0000
0.0000 2.9088 0.0000
0.0000 0.0000 5.7493
Fe Si Rh
2 1 1
direct
0.0000 0.0000 0.0000 Fe
0.5000 0.5000 0.2305 Fe
0.5000 0.5000 0.7749 Si
0.0000 0.0000 0.5244 Rh

***

3.
Fe3SiRh (PBE-GGA, optimized geometry); formation energy from raw total energies = 1.305 eV per atom; crystal system = cubic
1.0
4.5799 0.0000 0.0000
0.0000 4.5799 0.0000
0.0000 0.0000 4.5799
Fe Si Rh
3 1 1
direct
0.0000 0.0000 0.5000 Fe
0.0000 0.5000 0.0000 Fe
0.5000 0.0000 0.0000 Fe
0.5000 0.5000 0.5000 Si
0.0000 0.0000 0.0000 Rh

***

Number 1: Fermi-level density of states 2.11 states/eV/f.u.. Number 2: Fermi-level density of states 1.76 states/eV/f.u.. Number 3: Fermi-level density of states 5.87 states/eV/f.u..